The following is a DFT calculation (PBE) of crystalline BaNdAg2 at its relaxed geometry.

The calculation puts the uncorrected energy at -13.0 eV/f.u.

The space group is R-3m (No. 166, hexagonal axes) and the conventional cell measures 5.2500, 5.2500 and 16.5467 Å, with angles of 90.00, 90.00 and 120.00 degrees. The distinct sites, in fractional coordinates, are Ba at (0.0000, 0.0000, 0.0000), Nd at (0.0000, 0.0000, 0.5000) and Ag at (0.0000, 0.0000, 0.2084).